# 1
The following is a DFT calculation (GGA-PBE) of crystalline Rb2TlBr5 at its relaxed geometry.

The structure belongs to space group Cm (No. 8); the cell edges are 12.7986, 8.2876 and 8.2875 Å and the angles 90.00°, 130.12° and 90.00°. The asymmetric unit holds Rb at (0.0000, 0.0000, 0.0000), Rb at (0.0000, 0.5000, 0.4973), Tl at (0.2907, 0.0000, 0.7903), Br at (0.0604, 0.5000, 0.0627), Br at (0.2329, 0.2298, 0.9618) and Br at (0.2355, 0.2294, 0.5051).

Its formation energy (no corrections) is -1124 meV per atom. Its total magnetization is 0.00 μB per formula unit. The value obtained for the volume is 42.01 Å³/atom.

---

# 2
The following is a DFT calculation (GGA-PBE) of crystalline CuTc2Se at its relaxed geometry.

The structure belongs to space group Cmmm (No. 65); the cell edges are 2.9799, 4.5834 and 8.7656 Å and the angles 90.00°, 90.00° and 90.00°. The asymmetric unit holds Cu at (0.0000, 0.0000, 0.0000), Tc at (0.0000, 0.5000, 0.2463) and Se at (0.0000, 0.0000, 0.5000).

Its formation energy (no corrections) is 651 meV per atom. The value obtained for the density of states at the Fermi level is 0.969 states/eV per atom. Its total magnetization is 0.00 μB per formula unit. The value obtained for the volume is 14.97 Å³/atom.

---

# 3
The following is a DFT calculation (GGA-PBE) of crystalline NpAlZnO6 at its relaxed geometry.

The structure belongs to space group P-31c (No. 163); the cell edges are 5.1745, 5.1745 and 9.0167 Å and the angles 90.00°, 90.00° and 120.00°. The asymmetric unit holds Np at (0.3333, 0.6667, 0.2500), Al at (0.3333, 0.6667, 0.7500), Zn at (0.0000, 0.0000, 0.0000) and O at (0.0154, 0.3566, 0.6352).

Its formation energy (no corrections) is -2274 meV per atom. Its total magnetization is 0.00 μB per formula unit. The value obtained for the volume is 11.62 Å³/atom.

---

# 4
The following is a DFT calculation (GGA-PBE) of crystalline NaTl2InB at its relaxed geometry.

The structure belongs to space group P4/mmm (No. 123); the cell edges are 5.7616, 5.7616 and 5.7873 Å and the angles 90.00°, 90.00° and 90.00°. The asymmetric unit holds Na at (0.0000, 0.0000, 0.0000), Tl at (0.0000, 0.5000, 0.5000), In at (0.0000, 0.0000, 0.5000) and B at (0.5000, 0.5000, 0.0000).

As for the formation energy from the elements: 1258 meV/atom. The value obtained for the density of states at the Fermi level is 1.001 states/eV per atom. Its total magnetization is 0.52 μB per formula unit. The value obtained for the volume is 38.42 Å³/atom.

---

# 5
The following is a DFT calculation (GGA-PBE) of crystalline Sc2Cd2Sb at its relaxed geometry.

The structure belongs to space group P4/mbm (No. 127); the cell edges are 7.4564, 7.4564 and 4.2513 Å and the angles 90.00°, 90.00° and 90.00°. The asymmetric unit holds Sc at (0.1661, 0.3339, 0.0000), Cd at (0.1304, 0.6304, 0.5000) and Sb at (0.0000, 0.0000, 0.5000).

Its formation energy (no corrections) is -225 meV per atom. The value obtained for the density of states at the Fermi level is 0.804 states/eV per atom. Its total magnetization is 0.00 μB per formula unit. The value obtained for the volume is 23.64 Å³/atom.

---

# 6
The following is a DFT calculation (GGA-PBE) of crystalline TiSi2PdW at its relaxed geometry.

The structure belongs to space group P4/mmm (No. 123); the cell edges are 4.7013, 4.7013 and 4.6845 Å and the angles 90.00°, 90.00° and 90.00°. The asymmetric unit holds Ti at (0.0000, 0.0000, 0.0000), Si at (0.0000, 0.5000, 0.5000), Pd at (0.5000, 0.5000, 0.0000) and W at (0.0000, 0.0000, 0.5000).

Its formation energy (no corrections) is 763 meV per atom. The value obtained for the density of states at the Fermi level is 1.006 states/eV per atom. Its total magnetization is 0.00 μB per formula unit. The value obtained for the volume is 20.71 Å³/atom.